! Li2Pr3Hg2 PBE optimized geometry; values from VASP
! Calculated volume in Å³/atom: 26.73
! Raw total energy in eV per atom: -2.92
! M_tot in μB/f.u.: 0.000
! Crystal system: orthorhombic
! ΔH_f (0 K) in eV/atom: -0.244
! Space group: Immm
&SYSTEM
  ibrav = 0, nat = 7, ntyp = 3
/
ATOMIC_SPECIES
Li 6.94 Li.upf
Pr 140.91 Pr.upf
Hg 200.59 Hg.upf
CELL_PARAMETERS angstrom
-1.800 2.462 10.554
1.800 -2.462 10.554
1.800 2.462 -10.554
ATOMIC_POSITIONS angstrom
Li 0.000 0.000 1.414
Li 0.000 0.000 19.694
Pr 1.800 0.000 4.160
Pr 0.000 0.000 10.554
Pr 0.000 2.462 6.394
Hg 1.800 0.000 7.701
Hg 0.000 2.462 2.853